[1]
The following is a GGA+U calculation of a geometry-optimized CsNa2MoO4 structure, from Alexandria via LeMat-Bulk.

Unit cell a=5.9096 b=5.9096 c=5.9096 alpha=118.48 beta=118.48 gamma=92.66
Positions (direct):
Na (0.2500, 0.7500, 0.5000)
Na (0.7500, 0.2500, 0.5000)
Mo (0.0000, 0.0000, 0.0000)
O (0.9674, 0.3146, 0.0000)
O (0.0326, 0.0326, 0.3473)
O (0.3146, 0.9674, 0.0000)
O (0.6854, 0.6854, 0.6527)
Cs (0.5000, 0.5000, 0.0000)

Results
crystal system: tetragonal
symmetry: I-42m, No. 121

***

[2]
The following is a GGA+U calculation of a geometry-optimized Cs2Na3MoO6 structure, from Alexandria via LeMat-Bulk.

Unit cell a=7.2337 b=7.2337 c=5.7894 alpha=100.13 beta=100.13 gamma=126.03
Positions (direct):
O (0.8056, 0.8056, 0.1835)
O (0.9221, 0.7088, 0.7686)
O (0.2912, 0.0779, 0.2314)
O (0.7088, 0.9221, 0.7686)
O (0.1944, 0.1944, 0.8165)
O (0.0779, 0.2912, 0.2314)
Cs (0.3246, 0.6754, 0.0000)
Cs (0.6754, 0.3246, 0.0000)
Mo (0.0000, 0.0000, 0.0000)
Na (0.1119, 0.8881, 0.5000)
Na (0.5000, 0.5000, 0.5000)
Na (0.8881, 0.1119, 0.5000)

Results
crystal system: monoclinic
symmetry: C2/m, No. 12

***

| no. | calculated volume (Å³/f.u.) | E (eV per atom) |
| --- | --- | --- |
| 1 | 149 | -5.49 |
| 2 | 226 | -4.99 |